! PBE ThPaSbSe, optimized geometry; values from VASP
! - symmetry = F-43m
! - volume (Å³ per cell) = 101
! - formation energy without anion corrections (eV per atom) = -0.88
! - magnetization (Bohr magnetons per cell) = 0.0
&SYSTEM
  ibrav = 0, nat = 4, ntyp = 4
/
ATOMIC_SPECIES
Sb 121.76 Sb.upf
Pa 231.04 Pa.upf
Se 78.96 Se.upf
Th 232.04 Th.upf
ATOMIC_POSITIONS crystal
Sb 0.750 0.750 0.750
Pa 0.000 0.000 0.000
Se 0.250 0.250 0.250
Th 0.500 0.500 0.500
CELL_PARAMETERS angstrom
-4.382 -0.610 -2.798
-0.245 -3.685 -3.710
-2.992 -4.236 0.712

! PBE CsFe3B, optimized geometry; values from VASP
! - formation enthalpy at 0 K (kJ/mol of formula units) = 1613.8
! - symmetry = Pm-3m
! - volume (Å³ per cell) = 109
! - magnetization (Bohr magnetons per cell) = 7.2
&SYSTEM
  ibrav = 0, nat = 5, ntyp = 3
/
ATOMIC_SPECIES
Cs 132.91 Cs.upf
B 10.81 B.upf
Fe 55.84 Fe.upf
ATOMIC_POSITIONS crystal
Cs 0.000 0.000 0.000
B 0.500 0.500 0.500
Fe 0.000 0.500 0.000
Fe 0.000 0.000 0.500
Fe 0.500 0.000 0.000
CELL_PARAMETERS angstrom
-3.071 -1.507 3.344
3.460 -2.636 1.990
1.216 3.696 2.782

! PBE Bi3IrOs, optimized geometry; values from VASP
! - formation enthalpy at 0 K (kJ/mol of formula units) = 623.6
! - symmetry = Pm-3m
! - volume (Å³ per cell) = 140
! - magnetization (Bohr magnetons per cell) = 0.0
&SYSTEM
  ibrav = 0, nat = 5, ntyp = 3
/
ATOMIC_SPECIES
Ir 192.22 Ir.upf
Os 190.23 Os.upf
Bi 208.98 Bi.upf
ATOMIC_POSITIONS crystal
Ir 0.500 0.500 0.500
Os 0.000 0.000 0.000
Bi 0.000 0.500 0.000
Bi 0.000 0.000 0.500
Bi 0.500 0.000 0.000
CELL_PARAMETERS angstrom
-0.903 2.792 4.286
1.701 -3.940 2.925
4.824 1.913 -0.229

! PBE LiRuIN2, optimized geometry; values from VASP
! - symmetry = P4/mmm
! - volume (Å³ per cell) = 87
! - formation energy without anion corrections (eV per atom) = 0.40
! - magnetization (Bohr magnetons per cell) = 0.4
&SYSTEM
  ibrav = 0, nat = 5, ntyp = 4
/
ATOMIC_SPECIES
I 126.90 I.upf
Ru 101.07 Ru.upf
Li 6.94 Li.upf
N 14.01 N.upf
ATOMIC_POSITIONS crystal
I 0.000 0.000 0.500
Ru 0.000 0.000 0.000
Li 0.500 0.500 0.500
N 0.000 0.500 0.000
N 0.500 0.000 0.000
CELL_PARAMETERS angstrom
-0.230 1.460 -3.545
-0.713 -3.505 -1.398
-5.757 0.878 0.735

! PBE MnVW, optimized geometry; values from VASP
! - formation enthalpy at 0 K (kJ/mol of formula units) = -2.4
! - symmetry = P3m1
! - volume (Å³ per cell) = 40
! - magnetization (Bohr magnetons per cell) = 0.0
&SYSTEM
  ibrav = 0, nat = 3, ntyp = 3
/
ATOMIC_SPECIES
Mn 54.94 Mn.upf
W 183.84 W.upf
V 50.94 V.upf
ATOMIC_POSITIONS crystal
Mn 0.002 0.000 0.000
W 0.672 0.333 0.667
V 0.325 0.667 0.333
CELL_PARAMETERS angstrom
2.653 0.000 0.000
0.000 4.197 0.000
0.000 -2.099 3.635

! PBE Sm8GaSb5, optimized geometry; values from VASP
! - symmetry = I-4
! - volume (Å³ per cell) = 410
! - formation energy without anion corrections (eV per atom) = -0.96
! - magnetization (Bohr magnetons per cell) = 0.0
&SYSTEM
  ibrav = 0, nat = 14, ntyp = 3
/
ATOMIC_SPECIES
Sm 150.36 Sm.upf
Ga 69.72 Ga.upf
Sb 121.76 Sb.upf
ATOMIC_POSITIONS crystal
Sm 0.126 0.742 0.010
Sm 0.990 0.117 0.733
Sm 0.773 0.252 0.378
Sm 0.622 0.394 0.874
Sm 0.479 0.606 0.227
Sm 0.616 0.883 0.874
Sm 0.267 0.258 0.384
Sm 0.126 0.748 0.521
Ga 0.250 0.500 0.750
Sb 0.995 0.371 0.122
Sb 0.878 0.873 0.249
Sb 0.751 0.629 0.624
Sb 0.500 0.000 0.500
Sb 0.376 0.127 0.005
CELL_PARAMETERS angstrom
7.669 0.000 -2.620
-3.834 6.592 -2.742
-0.001 0.000 8.104

no.,final energy (eV/atom)
1,-7.011
2,-3.239
3,-5.054
4,-5.481
5,-10.422
6,-5.342